CaBr2O2 | GGA-PBE | optimized geometry

a b c (Å): 5.4906 5.4906 5.3337
angles (deg): 59.02 59.02 90.00
Fractional coordinates of all 5 atoms:
Ca 0.0000 0.0000 0.0000
Br 0.2500 0.7500 0.5000
Br 0.7500 0.2500 0.5000
O 0.5849 0.5849 0.8302
O 0.4151 0.4151 0.1698

## Properties
SG	I4/mmm (139)
E	-4.015	eV/atom

Hg2AuI5 | GGA-PBE | optimized geometry

a b c (Å): 4.5470 8.2662 20.8949
angles (deg): 90.00 90.00 105.96
Fractional coordinates of all 16 atoms:
Au 0.0856 0.1712 0.2500
Au 0.9144 0.8288 0.7500
Hg 0.1019 0.2038 0.6332
Hg 0.8981 0.7962 0.3668
Hg 0.1019 0.2038 0.8668
Hg 0.8981 0.7962 0.1332
I 0.0771 0.1542 0.1269
I 0.8040 0.6080 0.2500
I 0.6627 0.3254 0.5608
I 0.9229 0.8458 0.8731
I 0.3373 0.6746 0.0608
I 0.3373 0.6746 0.4392
I 0.0771 0.1542 0.3731
I 0.1960 0.3920 0.7500
I 0.6627 0.3254 0.9392
I 0.9229 0.8458 0.6269

## Properties
SG	Cmcm (63)
E	-1.675	eV/atom

Sr4Al | GGA-PBE | optimized geometry

a b c (Å): 9.1494 9.1494 9.1494
angles (deg): 60.00 60.00 60.00
Fractional coordinates of all 10 atoms:
Sr 0.3873 0.8381 0.3873
Sr 0.8627 0.4119 0.8627
Sr 0.3873 0.3873 0.3873
Sr 0.4119 0.8627 0.8627
Sr 0.3873 0.3873 0.8381
Sr 0.8627 0.8627 0.4119
Sr 0.8381 0.3873 0.3873
Sr 0.8627 0.8627 0.8627
Al 0.2500 0.2500 0.2500
Al 0.0000 0.0000 0.0000

## Properties
SG	Fd-3m (227)
energy of formation	0.318	eV per atom

Li2MgZn | GGA-PBE | optimized geometry

a b c (Å): 4.6207 4.6207 4.6207
angles (deg): 60.00 60.00 60.00
Fractional coordinates of all 4 atoms:
Li 0.2500 0.2500 0.2500
Li 0.0000 0.0000 0.0000
Zn 0.7500 0.7500 0.7500
Mg 0.5000 0.5000 0.5000

## Properties
SG	F-43m (216)
energy of formation	-0.122	eV per atom

Number 1 is which compound?
CaBr2O2